A PBEsol-optimized structure of ZrSbTe2H, computed with SCAN.

The density of states at the Fermi level is 3.57 states/eV per cell. The calculation puts the total magnetic moment at 0.19 μB/atom. Its electronic total energy is -28.77 eV per atom.

The space group is P4/mmm (No. 123) and the conventional cell measures 5.5175, 5.5175 and 5.5158 Å, with angles of 90.00, 90.00 and 90.00 degrees. The distinct sites, in fractional coordinates, are Zr at (0.0000, 0.0000, 0.0000), Sb at (0.0000, 0.0000, 0.5000), Te at (0.0000, 0.5000, 0.0000) and H at (0.5000, 0.5000, 0.5000).